The following is a meta-GGA SCAN calculation of KBeBr3 at its PBEsol-relaxed geometry, from Alexandria via LeMat-Bulk.

Output
Raw formation energy in kcal/mol of atoms: -26.9
Space group: Pm-3m
Uncorrected energy in eV/atom: -15.38

```
KBeBr3
1.0
4.934 0.000 0.000
0.000 4.934 0.000
0.000 0.000 4.934
K Be Br
1 1 3
Direct
0.000 0.000 0.000
0.500 0.500 0.500
0.000 0.500 0.500
0.500 0.000 0.500
0.500 0.500 0.000
```



The following is a meta-GGA SCAN calculation of Ba5Mg at its PBEsol-relaxed geometry, from Alexandria via LeMat-Bulk.

Output
Energy relative to the elements in kJ/mol of formula units: 40
Space group: P-62m
Offset from the most stable computed form in eV per atom: 0.063
Uncorrected energy in eV/atom: -33.72

```
Ba5Mg
1.0
7.190 0.000 0.000
-3.595 6.226 0.000
0.000 0.000 6.639
Ba Mg
5 1
Direct
0.000 0.683 0.000
0.317 0.317 0.000
0.333 0.667 0.500
0.667 0.333 0.500
0.683 0.000 0.000
0.000 0.000 0.500
```



Which value of uncorrected energy does entry 1 give?
-15.38 eV/atom